{
  "formula": "Nd2CoTe2S2O14",
  "functional": "GGA+U",
  "state": "relaxed",
  "energy_ev_per_cell": -137.6,
  "magnetic_moment_mub_per_cell": 3.0,
  "crystal_system": "triclinic",
  "lattice": [[5.334, 0.000, 0.000], [0.515, 7.878, 0.000], [2.412, 3.441, 6.967]],
  "species": ["Nd", "Nd", "Co", "Te", "Te", "S", "S", "O", "O", "O", "O", "O", "O", "O", "O", "O", "O", "O", "O", "O", "O"],
  "fractional_positions": [[0.083, 0.251, 0.016], [0.917, 0.749, 0.984], [0.000, 0.000, 0.500], [0.489, 0.740, 0.644], [0.511, 0.260, 0.356], [0.230, 0.747, 0.260], [0.770, 0.253, 0.740], [0.086, 0.586, 0.271], [0.124, 0.774, 0.435], [0.191, 0.918, 0.088], [0.255, 0.570, 0.885], [0.262, 0.938, 0.656], [0.278, 0.191, 0.256], [0.488, 0.284, 0.767], [0.512, 0.716, 0.233], [0.722, 0.809, 0.744], [0.738, 0.062, 0.344], [0.745, 0.430, 0.115], [0.809, 0.082, 0.912], [0.876, 0.226, 0.565], [0.914, 0.414, 0.729]]
}